Record 1
The following is a PBE calculation of an optimized crystal structure of Pm6Sm2Ho3, from the Alexandria database.

Output
The crystal system is tetragonal. For the total energy, the calculation gives -48.5 eV per formula unit. Its density of states at the Fermi level is 15.7 states/eV/cell. The calculation puts the polymorph energy (0 for the lowest one) at 269 meV per atom. As for the total magnetization: 0.000 μB per cell. The formation energy from the elements is 285 meV/atom.

Unit cell a=17.225 b=17.225 c=17.225 alpha=164.03 beta=164.03 gamma=22.66
Sites, in units of the cell vectors:
Pm: 0.121 0.621 0.500
Pm: 0.200 0.200 0.000
Pm: 0.379 0.879 0.500
Pm: 0.621 0.121 0.500
Pm: 0.800 0.800 0.000
Pm: 0.879 0.379 0.500
Sm: 0.045 0.045 0.000
Sm: 0.955 0.955 0.000
Ho: 0.301 0.301 0.000
Ho: 0.500 0.500 0.000
Ho: 0.699 0.699 0.000

Record 2
The following is a PBE calculation of an optimized crystal structure of PmSm12Ho6, from the Alexandria database.

Output
The crystal system is trigonal. For the total energy, the calculation gives -85.0 eV per formula unit. Its density of states at the Fermi level is 36.8 states/eV/cell. The calculation puts the polymorph energy (0 for the lowest one) at 59 meV per atom. As for the total magnetization: 0.000 μB per cell. The formation energy from the elements is 200 meV/atom.

Unit cell a=8.780 b=8.780 c=8.780 alpha=98.83 beta=98.83 gamma=98.83
Sites, in units of the cell vectors:
Pm: 0.000 0.000 0.000
Sm: 0.083 0.355 0.355
Sm: 0.241 0.500 0.759
Sm: 0.241 0.759 0.500
Sm: 0.355 0.083 0.355
Sm: 0.355 0.355 0.083
Sm: 0.500 0.241 0.759
Sm: 0.500 0.759 0.241
Sm: 0.645 0.645 0.917
Sm: 0.645 0.917 0.645
Sm: 0.759 0.241 0.500
Sm: 0.759 0.500 0.241
Sm: 0.917 0.645 0.645
Ho: 0.099 0.099 0.661
Ho: 0.099 0.661 0.099
Ho: 0.339 0.901 0.901
Ho: 0.661 0.099 0.099
Ho: 0.901 0.339 0.901
Ho: 0.901 0.901 0.339

Record 3
The following is a PBE calculation of an optimized crystal structure of Pm2Sm4Ho5, from the Alexandria database.

Output
The crystal system is monoclinic. For the total energy, the calculation gives -49.6 eV per formula unit. Its density of states at the Fermi level is 19.9 states/eV/cell. The calculation puts the polymorph energy (0 for the lowest one) at 0 meV per atom. As for the total magnetization: 0.000 μB per cell. The formation energy from the elements is 147 meV/atom.

Unit cell a=12.114 b=12.114 c=8.776 alpha=96.65 beta=96.65 gamma=16.49
Sites, in units of the cell vectors:
Pm: 0.090 0.090 0.240
Pm: 0.910 0.910 0.760
Sm: 0.046 0.046 0.858
Sm: 0.321 0.321 0.029
Sm: 0.679 0.679 0.971
Sm: 0.954 0.954 0.142
Ho: 0.142 0.142 0.617
Ho: 0.233 0.233 0.328
Ho: 0.500 0.500 0.500
Ho: 0.767 0.767 0.672
Ho: 0.858 0.858 0.383